Below is a relaxed structure of Rb2VTeO6, with properties calculated at the PBE with a Hubbard U level.

POSCAR file:
```
Rb2VTeO6
1.0
-5.314 -1.770 2.292
-3.048 -4.544 -2.586
1.731 -8.352 5.556
V O Rb Te
2 12 4 2
Cartesian
-1.995 -9.159 4.284 V
-4.636 -5.507 0.979 V
-2.754 -5.611 1.912 O
-1.730 -10.826 3.611 O
-6.316 -5.951 0.450 O
-4.901 -3.841 1.651 O
-2.782 -9.537 5.876 O
-4.032 -7.517 0.828 O
-2.599 -7.150 4.434 O
-3.877 -9.055 3.350 O
-3.849 -5.129 -0.614 O
-4.982 -6.353 2.873 O
-1.649 -8.313 2.389 O
-0.315 -8.715 4.812 O
-0.064 -5.870 3.310 Rb
-2.034 -3.146 0.844 Rb
-6.567 -8.796 1.952 Rb
-4.597 -11.520 4.418 Rb
-3.316 -7.333 2.631 Te
0.000 0.000 0.000 Te
```

Output
VASP energy in eV per formula unit: -57.640